Record 1
The following is a PBE calculation of an optimized crystal structure of Pm2SmDy9, from Alexandria via LeMat-Bulk.

The space group is P4/mmm (No. 123) and the conventional cell measures 5.043, 5.043 and 15.124 Å, with angles of 90.00, 90.00 and 90.00 degrees. The asymmetric unit holds Pm at (0.000, 0.000, 0.167), Sm at (0.000, 0.000, 0.500), Dy at (0.000, 0.500, 0.000), Dy at (0.000, 0.500, 0.334), Dy at (0.500, 0.500, 0.167) and Dy at (0.500, 0.500, 0.500).

For the formation energy, the calculation gives 0.020 eV per atom. The value obtained for the density of states at the Fermi level is 1.4483 states/eV per atom. The value obtained for the uncorrected energy is -4.617 eV/atom. As for the energy above the most stable polymorph in this dataset: 0.000 eV per atom.

---

Record 2
The following is a PBE calculation of an optimized crystal structure of PmSm2Dy, from Alexandria via LeMat-Bulk.

The space group is Amm2 (No. 38) and the conventional cell measures 5.622, 3.567 and 13.344 Å, with angles of 90.00, 90.00 and 90.00 degrees. The asymmetric unit holds Pm at (0.000, 0.000, 0.000), Sm at (0.000, 0.000, 0.743), Sm at (0.500, 0.000, 0.616) and Dy at (0.500, 0.000, 0.355).

For the formation energy, the calculation gives 0.049 eV per atom. The value obtained for the density of states at the Fermi level is 1.4976 states/eV per atom. The value obtained for the uncorrected energy is -4.649 eV/atom. As for the energy above the most stable polymorph in this dataset: 0.034 eV per atom.

---

Record 3
The following is a PBE calculation of an optimized crystal structure of Pm4Sm3Dy4, from Alexandria via LeMat-Bulk.

The space group is Immm (No. 71) and the conventional cell measures 3.605, 9.451 and 22.053 Å, with angles of 90.00, 90.00 and 90.00 degrees. The asymmetric unit holds Pm at (0.000, 0.178, 0.145), Sm at (0.000, 0.000, 0.392), Sm at (0.000, 0.500, 0.500), Dy at (0.000, 0.318, 0.000) and Dy at (0.000, 0.500, 0.241).

For the formation energy, the calculation gives 0.129 eV per atom. The value obtained for the density of states at the Fermi level is 1.4423 states/eV per atom. The value obtained for the uncorrected energy is -4.560 eV/atom. As for the energy above the most stable polymorph in this dataset: 0.000 eV per atom.

---

Record 4
The following is a PBE calculation of an optimized crystal structure of Pm4Sm4Dy, from Alexandria via LeMat-Bulk.

The space group is I4/mmm (No. 139) and the conventional cell measures 10.885, 10.885 and 5.132 Å, with angles of 90.00, 90.00 and 90.00 degrees. The asymmetric unit holds Pm at (0.000, 0.333, 0.000), Sm at (0.166, 0.166, 0.500) and Dy at (0.000, 0.000, 0.000).

For the formation energy, the calculation gives 0.015 eV per atom. The value obtained for the density of states at the Fermi level is 1.5048 states/eV per atom. The value obtained for the uncorrected energy is -4.705 eV/atom.

---

Record 5
The following is a PBE calculation of an optimized crystal structure of PmSm2Dy9, from Alexandria via LeMat-Bulk.

The space group is P4/mmm (No. 123) and the conventional cell measures 5.040, 5.040 and 15.124 Å, with angles of 90.00, 90.00 and 90.00 degrees. The asymmetric unit holds Pm at (0.000, 0.000, 0.000), Sm at (0.000, 0.000, 0.333), Dy at (0.000, 0.500, 0.167), Dy at (0.000, 0.500, 0.500), Dy at (0.500, 0.500, 0.000) and Dy at (0.500, 0.500, 0.334).

For the formation energy, the calculation gives 0.020 eV per atom. The value obtained for the density of states at the Fermi level is 1.4556 states/eV per atom. The value obtained for the uncorrected energy is -4.614 eV/atom. As for the energy above the most stable polymorph in this dataset: 0.000 eV per atom.

---

Record 6
The following is a PBE calculation of an optimized crystal structure of PmSm2Dy5, from Alexandria via LeMat-Bulk.

The space group is Pbam (No. 55) and the conventional cell measures 7.159, 14.316 and 5.051 Å, with angles of 90.00, 90.00 and 90.00 degrees. The asymmetric unit holds Pm at (0.000, 0.000, 0.000), Sm at (0.249, 0.374, 0.500), Dy at (0.000, 0.251, 0.000), Dy at (0.000, 0.500, 0.000) and Dy at (0.250, 0.126, 0.500).

For the formation energy, the calculation gives 0.016 eV per atom. The value obtained for the density of states at the Fermi level is 1.2913 states/eV per atom. The value obtained for the uncorrected energy is -4.634 eV/atom. As for the energy above the most stable polymorph in this dataset: 0.000 eV per atom.

---

Record 7
The following is a PBE calculation of an optimized crystal structure of Pm4Sm4Dy3, from Alexandria via LeMat-Bulk.

The space group is P-1 (No. 2) and the conventional cell measures 3.558, 5.706 and 18.334 Å, with angles of 98.90, 95.55 and 90.01 degrees. The asymmetric unit holds Pm at (0.090, 0.091, 0.181), Pm at (0.233, 0.733, 0.465), Sm at (0.045, 0.547, 0.092), Sm at (0.180, 0.180, 0.360), Dy at (0.364, 0.364, 0.728) and Dy at (0.500, 0.000, 0.000).

For the formation energy, the calculation gives 0.054 eV per atom. The value obtained for the density of states at the Fermi level is 1.6270 states/eV per atom. The value obtained for the uncorrected energy is -4.644 eV/atom. As for the energy above the most stable polymorph in this dataset: 0.000 eV per atom.

---

Record 8
The following is a PBE calculation of an optimized crystal structure of PmSmDy2, from Alexandria via LeMat-Bulk.

The space group is R3m (No. 160, hexagonal axes) and the conventional cell measures 3.6078, 3.6078 and 34.9030 Å, with angles of 90.00, 90.00 and 120.00 degrees. The asymmetric unit holds Pm at (0.0000, 0.0000, 0.0000), Sm at (0.0000, 0.0000, 0.1662), Dy at (0.0000, 0.0000, 0.5824) and Dy at (0.0000, 0.0000, 0.7499).

For the formation energy, the calculation gives 0.014 eV per atom. The value obtained for the density of states at the Fermi level is 1.4069 states/eV per atom. The value obtained for the uncorrected energy is -4.654 eV/atom. As for the energy above the most stable polymorph in this dataset: 0.001 eV per atom.

---

Record 9
The following is a PBE calculation of an optimized crystal structure of Pm4SmDy4, from Alexandria via LeMat-Bulk.

The space group is I4/mmm (No. 139) and the conventional cell measures 10.802, 10.802 and 5.083 Å, with angles of 90.00, 90.00 and 90.00 degrees. The asymmetric unit holds Pm at (0.000, 0.332, 0.000), Sm at (0.000, 0.000, 0.000) and Dy at (0.166, 0.166, 0.500).

For the formation energy, the calculation gives 0.016 eV per atom. The value obtained for the density of states at the Fermi level is 1.4330 states/eV per atom. The value obtained for the uncorrected energy is -4.665 eV/atom. As for the energy above the most stable polymorph in this dataset: 0.000 eV per atom.

---

Record 10
The following is a PBE calculation of an optimized crystal structure of PmSm3Dy5, from Alexandria via LeMat-Bulk.

The space group is C2/m (No. 12) and the conventional cell measures 15.274, 11.421 and 9.936 Å, with angles of 90.00, 130.22 and 90.00 degrees. The asymmetric unit holds Pm at (0.248, 0.000, 0.407), Sm at (0.000, 0.000, 0.000), Sm at (0.000, 0.500, 0.500), Sm at (0.007, 0.500, 0.812), Sm at (0.021, 0.000, 0.360), Dy at (0.000, 0.257, 0.000), Dy at (0.150, 0.250, 0.749), Dy at (0.221, 0.500, 0.225) and Dy at (0.225, 0.000, 0.043).

For the formation energy, the calculation gives 0.507 eV per atom. The value obtained for the density of states at the Fermi level is 1.3829 states/eV per atom. The value obtained for the uncorrected energy is -4.151 eV/atom. As for the energy above the most stable polymorph in this dataset: 0.199 eV per atom.